Crystalline AcMgCu at its relaxed geometry. Source: the Open Quantum Materials Database, functional PBE-GGA.

Cell and atoms, written as POSCAR:
```
AcMgCu
1.0
0.000 3.503 3.503
3.503 0.000 3.503
3.503 3.503 0.000
Ac Mg Cu
1 1 1
direct
0.000 0.000 0.000
0.500 0.500 0.500
0.250 0.250 0.250
```

Summary:
**Space-group type**: F-43m
**Total magnetization**: 0.0 μB/cell
**Excess energy over the best structure of this formula in the dataset**: 0 meV per atom
**Crystal system**: cubic